# 1
A plane-wave DFT calculation with GGA-PBE was carried out for crystalline Ir3Se at its relaxed geometry.

a = 4.742 Å, b = 4.742 Å, c = 2.848 Å
α = 90.00°, β = 90.00°, γ = 108.32°
Element x y z (fractional)
Ir 0.000 0.000 0.000
Ir 0.000 0.500 0.500
Ir 0.500 0.000 0.500
Se 0.500 0.500 0.000

Calculated values
energy relative to the elements, uncorrected	0.416	eV per atom
excess energy over the best structure of this formula in the dataset	127.8	meV/atom

# 2
A plane-wave DFT calculation with GGA-PBE was carried out for crystalline PrThOsPt at its relaxed geometry.

a = 5.076 Å, b = 5.076 Å, c = 5.076 Å
α = 60.00°, β = 60.00°, γ = 60.00°
Element x y z (fractional)
Pr 0.000 0.000 0.000
Th 0.500 0.500 0.500
Os 0.750 0.750 0.750
Pt 0.250 0.250 0.250

Calculated values
E_form	-0.49	eV per atom

# 3
A plane-wave DFT calculation with GGA-PBE was carried out for crystalline Mg2RhAu at its relaxed geometry.

a = 8.775 Å, b = 8.775 Å, c = 8.775 Å
α = 19.93°, β = 19.93°, γ = 19.93°
Element x y z (fractional)
Mg 0.244 0.244 0.244
Mg 0.756 0.756 0.756
Rh 0.500 0.500 0.500
Au 0.000 0.000 0.000

Calculated values
E_form	-0.34	eV per atom